No. 1
! PBE NaSr3Pd, optimized geometry; values from VASP
! ΔE to the lowest computed polymorph in meV/atom: 74
! Fermi-level density of states in states/eV per cell: 8.1
! SG: R-3, No. 148
! DFT formation energy in eV per atom: -0.21
! Energy in eV/f.u.: -12.6
&SYSTEM
  ibrav = 0, nat = 10, ntyp = 3
/
ATOMIC_SPECIES
Na 22.99 Na.upf
Sr 87.62 Sr.upf
Pd 106.42 Pd.upf
ATOMIC_POSITIONS crystal
Na 0.179 0.179 0.179
Na 0.821 0.821 0.821
Sr 0.105 0.710 0.382
Sr 0.290 0.618 0.895
Sr 0.382 0.105 0.710
Sr 0.618 0.895 0.290
Sr 0.710 0.382 0.105
Sr 0.895 0.290 0.618
Pd 0.316 0.316 0.316
Pd 0.684 0.684 0.684
CELL_PARAMETERS angstrom
3.950 2.280 7.940
-3.950 2.280 7.940
0.000 -4.561 7.940


No. 2
! PBE Li2UBr6, optimized geometry; values from VASP
! ΔE to the lowest computed polymorph in meV/atom: 0
! Formation energy (no corrections) in eV/atom: -1.4112
! Fermi-level density of states in states/eV per cell: 7.4
! SG: P-31m, No. 162
! Energy in eV/f.u.: -37.9
&SYSTEM
  ibrav = 0, nat = 9, ntyp = 3
/
ATOMIC_SPECIES
Li 6.94 Li.upf
U 238.03 U.upf
Br 79.90 Br.upf
ATOMIC_POSITIONS crystal
Li 0.333 0.667 0.000
Li 0.667 0.333 0.000
U 0.000 0.000 0.000
Br 0.000 0.333 0.222
Br 0.000 0.667 0.778
Br 0.333 0.000 0.222
Br 0.333 0.333 0.778
Br 0.667 0.000 0.778
Br 0.667 0.667 0.222
CELL_PARAMETERS angstrom
6.953 0.000 0.000
-3.477 6.021 0.000
0.000 0.000 7.021


Among the records above, which one has the highest Fermi-level density of states? NaSr3Pd